# YCo3Te GGA-PBEsol optimized geometry
data_YCo3Te
_chemical_formula_sum 'Y1 Co3 Te1'
_cell_length_a 4.5712
_cell_length_b 4.5712
_cell_length_c 4.5712
_cell_angle_alpha 90.00
_cell_angle_beta 90.00
_cell_angle_gamma 90.00
_space_group_name_H-M_alt 'P m -3 m'
_space_group_IT_number 221
_space_group_name_Hall '-P 4 2 3'
loop_
_atom_site_label
_atom_site_fract_x
_atom_site_fract_y
_atom_site_fract_z
Y1 0.0000 0.0000 0.0000
Co1 0.0000 0.0000 0.5000
Te1 0.5000 0.5000 0.5000
# uncorrected energy	-5.16	eV/atom
# energy relative to the elements, uncorrected	1.55	eV/atom

***

# YCoTe2 GGA-PBEsol optimized geometry
data_YCoTe2
_chemical_formula_sum 'Y1 Co1 Te2'
_cell_length_a 3.6112
_cell_length_b 3.6112
_cell_length_c 6.7889
_cell_angle_alpha 90.00
_cell_angle_beta 90.00
_cell_angle_gamma 90.00
_space_group_name_H-M_alt 'P 4/m m m'
_space_group_IT_number 123
_space_group_name_Hall '-P 4 2'
loop_
_atom_site_label
_atom_site_fract_x
_atom_site_fract_y
_atom_site_fract_z
Y1 0.0000 0.0000 0.0000
Co1 0.0000 0.0000 0.5000
Te1 0.5000 0.5000 0.2672
# uncorrected energy	-5.63	eV/atom
# energy relative to the elements, uncorrected	-0.22	eV/atom

***

Q: Which value of energy relative to the elements, uncorrected does entry 2 give?
A: -0.22 eV/atom

***

Q: Look up the uncorrected energy of the second one.
A: -5.63 eV/atom

***

Q: What is the formula in the first record?
A: YCo3Te